Record 1
A relaxed Ag15Hg crystal. Source: OQMD, functional GGA-PBE.

Output
Energy of formation from the pure elements = 61 meV/atom
Energy above the lowest structure with this stoichiometry = 0.023 eV/atom

abc: 4.996 33.486 4.999
angles: 90.00 108.58 90.00
Space group P2/c (No. 13)
Asymmetric unit:
Ag  0.000  0.022  0.250 (multiplicity 2)
Ag  0.000  0.066  0.750 (multiplicity 2)
Ag  0.000  0.110  0.250 (multiplicity 2)
Ag  0.000  0.154  0.750 (multiplicity 2)
Ag  0.000  0.199  0.250 (multiplicity 2)
Ag  0.000  0.242  0.750 (multiplicity 2)
Ag  0.000  0.288  0.250 (multiplicity 2)
Ag  0.500  0.022  0.750 (multiplicity 2)
Ag  0.500  0.066  0.250 (multiplicity 2)
Ag  0.500  0.110  0.750 (multiplicity 2)
Ag  0.500  0.154  0.250 (multiplicity 2)
Ag  0.500  0.199  0.750 (multiplicity 2)
Ag  0.500  0.243  0.250 (multiplicity 2)
Ag  0.500  0.288  0.750 (multiplicity 2)
Ag  0.500  0.331  0.250 (multiplicity 2)
Hg  0.000  0.338  0.750 (multiplicity 2)

---

Record 2
A relaxed Si2Pt3 crystal. Source: OQMD, functional GGA-PBE.

Output
Total magnetic moment = 0.0 μB/f.u.

abc: 4.0485 4.0485 5.5574
angles: 90.00 90.00 120.00
Space group P-3m1 (No. 164)
Asymmetric unit:
Si  0.3333  0.6667  0.2795 (multiplicity 2)
Pt  0.0000  0.0000  0.5000 (multiplicity 1)
Pt  0.3333  0.6667  0.8336 (multiplicity 2)

---

Record 3
A relaxed Na2InCuF7 crystal. Source: OQMD, functional GGA-PBE.

Output
Energy above the lowest structure with this stoichiometry = 0.000 eV/atom

abc: 10.167 7.169 7.373
angles: 90.00 90.00 90.00
Space group Pnma (No. 62)
Asymmetric unit:
Na  0.000  0.000  0.000 (multiplicity 4)
Na  0.236  0.250  0.267 (multiplicity 4)
In  0.221  0.250  0.743 (multiplicity 4)
Cu  0.000  0.000  0.500 (multiplicity 4)
F  0.070  0.250  0.503 (multiplicity 4)
F  0.119  0.513  0.727 (multiplicity 8)
F  0.137  0.250  0.003 (multiplicity 4)
F  0.141  0.544  0.327 (multiplicity 8)
F  0.152  0.750  0.024 (multiplicity 4)

---

no.,theoretical density (g cm⁻³),DFT total energy (eV per atom)
1,7.62,-2.605
2,13.50,-6.309
3,4.42,-4.326